A geometry-optimized HoSc2Mo structure, computed with PBE-GGA.

a = 3.2979 Å, b = 3.2979 Å, c = 29.7670 Å
α = 90.00°, β = 90.00°, γ = 120.00°
Closest atoms and distances in Å follow each position.
Fractional coordinates of all 12 atoms:
Ho (0.0000, 0.0000, 0.0000)  6 Ho 3.30, 6 Sc 3.52
Ho (0.3333, 0.6667, 0.6667)  6 Ho 3.30, 6 Sc 3.52
Ho (0.6667, 0.3333, 0.3333)  6 Ho 3.30, 6 Sc 3.52
Sc (0.0000, 0.0000, 0.2339)  3 Mo 2.76
Sc (0.0000, 0.0000, 0.7661)  3 Mo 2.76
Sc (0.3333, 0.6667, 0.4328)  3 Mo 2.76
Sc (0.3333, 0.6667, 0.9006)  3 Mo 2.76
Sc (0.6667, 0.3333, 0.0994)  3 Mo 2.76
Sc (0.6667, 0.3333, 0.5672)  3 Mo 2.76
Mo (0.0000, 0.0000, 0.5000)  6 Sc 2.76
Mo (0.3333, 0.6667, 0.1667)  6 Sc 2.76
Mo (0.6667, 0.3333, 0.8333)  6 Sc 2.76

Output
Space group = R-3m (166)
Energy relative to the elements = 5.96 kcal/mol of atoms
Total moment = 0.000 μB/atom
N(E_F) = 20.6 states/eV/cell
Relative energy among the computed polymorphs = 116 meV per atom